1.
! Ba2Cd5Pt3 PBE-GGA relaxed; values from VASP
&SYSTEM
  ibrav = 0, nat = 20, ntyp = 3
/
ATOMIC_SPECIES
Cd 112.41 Cd.upf
Pt 195.08 Pt.upf
Ba 137.33 Ba.upf
ATOMIC_POSITIONS crystal
Cd 0.290 0.517 0.579
Cd 0.054 0.596 0.108
Cd 0.399 0.402 0.799
Cd 0.293 0.903 0.586
Pt 0.231 0.208 0.461
Pt 0.050 0.980 0.100
Pt 0.390 0.028 0.780
Ba 0.175 0.714 0.350
Ba 0.476 0.768 0.952
Cd 0.127 0.249 0.255
Cd 0.601 0.902 0.201
Cd 0.873 0.749 0.745
Ba 0.825 0.214 0.650
Ba 0.524 0.268 0.048
Cd 0.710 0.017 0.421
Pt 0.769 0.708 0.539
Cd 0.707 0.403 0.414
Cd 0.946 0.096 0.892
Pt 0.950 0.480 0.900
Pt 0.610 0.528 0.220
CELL_PARAMETERS angstrom
-0.803 -3.964 -2.507
2.685 -4.230 5.827
-12.210 1.215 6.507
! E_tot in eV per atom: -3.11
! Energy of formation in eV per atom: -0.451
! Crystal system: orthorhombic
! Symmetry: Cmc2_1
! Calculated volume in Å³/atom: 25.0

2.
! Ba2DyAl12Pt3 PBE-GGA relaxed; values from VASP
&SYSTEM
  ibrav = 0, nat = 18, ntyp = 4
/
ATOMIC_SPECIES
Al 26.98 Al.upf
Dy 162.50 Dy.upf
Pt 195.08 Pt.upf
Ba 137.33 Ba.upf
ATOMIC_POSITIONS crystal
Al 0.661 0.661 0.124
Al 0.339 0.876 0.339
Dy 0.000 0.000 0.000
Al 0.876 0.339 0.339
Pt 0.500 0.000 0.000
Al 0.124 0.661 0.661
Ba 0.606 0.606 0.606
Ba 0.394 0.394 0.394
Al 0.339 0.339 0.876
Al 0.153 0.510 0.153
Al 0.490 0.847 0.847
Pt 0.000 0.000 0.500
Al 0.510 0.153 0.153
Al 0.847 0.847 0.490
Al 0.661 0.124 0.661
Al 0.847 0.490 0.847
Al 0.153 0.153 0.510
Pt 0.000 0.500 0.000
CELL_PARAMETERS angstrom
9.171 0.431 0.306
4.904 7.762 0.306
4.904 2.855 7.225
! E_tot in eV per atom: -4.06
! Energy of formation in eV per atom: -0.088
! Crystal system: trigonal
! Symmetry: R-3m
! Calculated volume in Å³/atom: 26.9

3.
! YGa4RuPt2 PBE-GGA relaxed; values from VASP
&SYSTEM
  ibrav = 0, nat = 8, ntyp = 4
/
ATOMIC_SPECIES
Ga 69.72 Ga.upf
Y 88.91 Y.upf
Pt 195.08 Pt.upf
Ru 101.07 Ru.upf
ATOMIC_POSITIONS crystal
Ga 0.602 0.602 0.194
Y 0.000 0.000 0.000
Ga 0.398 0.398 0.806
Pt 0.761 0.761 0.716
Pt 0.239 0.239 0.284
Ru 0.500 0.500 0.500
Ga 0.133 0.133 0.602
Ga 0.867 0.867 0.398
CELL_PARAMETERS angstrom
-3.895 1.725 0.225
-2.214 0.739 -3.570
-5.509 -7.089 -0.599
! E_tot in eV per atom: -5.63
! Energy of formation in eV per atom: -0.643
! Crystal system: trigonal
! Symmetry: R-3m
! Calculated volume in Å³/atom: 17.0